YCrMoAu2 after structural relaxation. Source: the Alexandria database, functional PBE.

```
data_YCrMoAu2
_chemical_formula_sum 'Y1 Cr1 Mo1 Au2'
_cell_length_a 5.077
_cell_length_b 5.077
_cell_length_c 5.020
_cell_angle_alpha 90.00
_cell_angle_beta 90.00
_cell_angle_gamma 90.00
_symmetry_space_group_name_H-M 'P 4/m m m'
_symmetry_Int_Tables_number 123
_symmetry_space_group_name_Hall '-P 4 2'
loop_
_atom_site_label
_atom_site_type_symbol
_atom_site_fract_x
_atom_site_fract_y
_atom_site_fract_z
_atom_site_occupancy
Y1 Y 0.000 0.000 0.000 1
Cr1 Cr 0.500 0.500 0.000 1
Mo1 Mo 0.000 0.000 0.500 1
Au1 Au 0.000 0.500 0.500 1
```

Calculated values
The formation energy from the elements is 1547.8 meV per atom. For the theoretical density, the calculation gives 8.09 Mg/m³. The volume is 129.43 Å³/f.u.